## Bi2SbPt2 (PBE)

Data for a geometry-optimized Bi2SbPt2 structure. Values from VASP.

```
&SYSTEM
  ibrav = 0, nat = 10, ntyp = 3
/
ATOMIC_SPECIES
Pt 195.08 Pt.upf
Sb 121.76 Sb.upf
Bi 208.98 Bi.upf
ATOMIC_POSITIONS crystal
Pt 0.866 0.634 0.000
Pt 0.134 0.366 0.000
Pt 0.366 0.866 0.000
Pt 0.634 0.134 0.000
Sb 0.000 0.000 0.000
Sb 0.500 0.500 0.000
Bi 0.837 0.337 0.500
Bi 0.337 0.163 0.500
Bi 0.663 0.837 0.500
Bi 0.163 0.663 0.500
CELL_PARAMETERS angstrom
7.587 0.000 0.000
0.000 7.587 0.000
0.000 0.000 4.051
```

Calculated values
SG ... P4/mbm
Uncorrected energy ... -0.3604 Ry per atom
Mass density ... 13.245 Mg/m³
Formation energy without anion corrections ... -110 meV per atom